A relaxed K3In2Au crystal. Source: Alexandria, functional GGA-PBE.

The structure belongs to space group Cmcm (No. 63); the cell edges are 10.174, 12.733 and 6.564 Å and the angles 90.00°, 90.00° and 90.00°. The asymmetric unit holds K at (0.000, 0.085, 0.250), K at (0.175, 0.240, 0.750), In at (0.161, 0.500, 0.000) and Au at (0.000, 0.360, 0.250).

For the energy relative to the elements, the calculation gives -0.113 eV/atom. Its calculated total energy is -2.12 eV per atom.